A relaxed structure of CePuU2Sb4. Source: Alexandria, functional PBE. Values from VASP.

The structure in Quantum ESPRESSO input format:
```
&SYSTEM
  ibrav = 0, nat = 8, ntyp = 4
/
ATOMIC_SPECIES
Ce 140.12 Ce.upf
Pu 244.00 Pu.upf
U 238.03 U.upf
Sb 121.76 Sb.upf
CELL_PARAMETERS angstrom
7.558 0.000 0.000
0.000 4.363 0.000
-2.524 0.000 7.409
ATOMIC_POSITIONS crystal
Ce 0.000 0.000 0.000
Pu 0.500 0.500 0.000
U 0.000 0.500 0.500
U 0.500 0.000 0.500
Sb 0.250 0.000 0.746
Sb 0.253 0.500 0.256
Sb 0.747 0.500 0.744
Sb 0.750 0.000 0.254
```

Values from the calculation:
Energy, eV per atom: -7.9085

---

A relaxed structure of Ce2PuUSb4. Source: Alexandria, functional PBE. Values from VASP.

The structure in Quantum ESPRESSO input format:
```
&SYSTEM
  ibrav = 0, nat = 8, ntyp = 4
/
ATOMIC_SPECIES
Ce 140.12 Ce.upf
Pu 244.00 Pu.upf
U 238.03 U.upf
Sb 121.76 Sb.upf
CELL_PARAMETERS angstrom
7.649 0.000 0.000
0.000 4.415 0.000
-2.553 0.000 7.394
ATOMIC_POSITIONS crystal
Ce 0.000 0.000 0.000
Ce 0.000 0.500 0.500
Pu 0.500 0.000 0.500
U 0.500 0.500 0.000
Sb 0.255 0.500 0.250
Sb 0.256 0.000 0.753
Sb 0.744 0.000 0.247
Sb 0.745 0.500 0.750
```

Values from the calculation:
Energy, eV per atom: -7.4537

---

A relaxed structure of CePu2USb4. Source: Alexandria, functional PBE. Values from VASP.

The structure in Quantum ESPRESSO input format:
```
&SYSTEM
  ibrav = 0, nat = 8, ntyp = 4
/
ATOMIC_SPECIES
Ce 140.12 Ce.upf
Pu 244.00 Pu.upf
U 238.03 U.upf
Sb 121.76 Sb.upf
CELL_PARAMETERS angstrom
7.632 0.000 0.000
0.000 4.430 0.000
-2.568 0.000 7.308
ATOMIC_POSITIONS crystal
Ce 0.000 0.000 0.000
Pu 0.500 0.000 0.500
Pu 0.500 0.500 0.000
U 0.000 0.500 0.500
Sb 0.248 0.000 0.746
Sb 0.250 0.500 0.254
Sb 0.750 0.500 0.746
Sb 0.752 0.000 0.254
```

Values from the calculation:
Energy, eV per atom: -8.4097

---

A relaxed structure of CePuZnSb. Source: Alexandria, functional PBE. Values from VASP.

The structure in Quantum ESPRESSO input format:
```
&SYSTEM
  ibrav = 0, nat = 16, ntyp = 4
/
ATOMIC_SPECIES
Ce 140.12 Ce.upf
Pu 244.00 Pu.upf
Zn 65.41 Zn.upf
Sb 121.76 Sb.upf
CELL_PARAMETERS angstrom
7.450 0.000 0.000
0.000 7.450 0.000
0.000 0.000 7.450
ATOMIC_POSITIONS crystal
Ce 0.000 0.000 0.000
Ce 0.000 0.500 0.500
Ce 0.500 0.000 0.500
Ce 0.500 0.500 0.000
Pu 0.000 0.000 0.500
Pu 0.000 0.500 0.000
Pu 0.500 0.000 0.000
Pu 0.500 0.500 0.500
Zn 0.250 0.250 0.250
Zn 0.250 0.750 0.750
Zn 0.750 0.250 0.750
Zn 0.750 0.750 0.250
Sb 0.250 0.250 0.750
Sb 0.250 0.750 0.250
Sb 0.750 0.250 0.250
Sb 0.750 0.750 0.750
```

Values from the calculation:
Energy, eV per atom: -6.8031

---

A relaxed structure of CePu2Sc6. Source: Alexandria, functional PBE. Values from VASP.

The structure in Quantum ESPRESSO input format:
```
&SYSTEM
  ibrav = 0, nat = 9, ntyp = 3
/
ATOMIC_SPECIES
Ce 140.12 Ce.upf
Pu 244.00 Pu.upf
Sc 44.96 Sc.upf
CELL_PARAMETERS angstrom
5.457 0.000 0.000
-2.729 4.726 0.000
0.000 0.000 10.585
ATOMIC_POSITIONS crystal
Ce 0.000 0.000 0.000
Pu 0.333 0.667 0.500
Pu 0.667 0.333 0.500
Sc 0.000 0.335 0.254
Sc 0.000 0.665 0.746
Sc 0.335 0.000 0.254
Sc 0.335 0.335 0.746
Sc 0.665 0.000 0.746
Sc 0.665 0.665 0.254
```

Values from the calculation:
E_form, eV per formula unit: 5.280
ΔE to the lowest computed polymorph, eV per atom: 0.466

---

A relaxed structure of CePu2Sc. Source: Alexandria, functional PBE. Values from VASP.

The structure in Quantum ESPRESSO input format:
```
&SYSTEM
  ibrav = 0, nat = 4, ntyp = 3
/
ATOMIC_SPECIES
Ce 140.12 Ce.upf
Pu 244.00 Pu.upf
Sc 44.96 Sc.upf
CELL_PARAMETERS angstrom
4.720 0.000 0.000
0.000 4.720 0.000
0.000 0.000 4.634
ATOMIC_POSITIONS crystal
Ce 0.000 0.000 0.000
Pu 0.000 0.500 0.500
Pu 0.500 0.000 0.500
Sc 0.500 0.500 0.000
```

Values from the calculation:
E_form, eV per formula unit: 0.553
ΔE to the lowest computed polymorph, eV per atom: 0.004

---

A relaxed structure of Ce2PuSc. Source: Alexandria, functional PBE. Values from VASP.

The structure in Quantum ESPRESSO input format:
```
&SYSTEM
  ibrav = 0, nat = 12, ntyp = 3
/
ATOMIC_SPECIES
Ce 140.12 Ce.upf
Pu 244.00 Pu.upf
Sc 44.96 Sc.upf
CELL_PARAMETERS angstrom
3.610 0.000 0.000
-1.805 3.126 0.000
0.000 0.000 26.820
ATOMIC_POSITIONS crystal
Ce 0.000 0.000 0.000
Ce 0.000 0.000 0.116
Ce 0.333 0.667 0.667
Ce 0.333 0.667 0.783
Ce 0.667 0.333 0.333
Ce 0.667 0.333 0.449
Pu 0.000 0.000 0.392
Pu 0.333 0.667 0.059
Pu 0.667 0.333 0.726
Sc 0.000 0.000 0.552
Sc 0.333 0.667 0.219
Sc 0.667 0.333 0.885
```

Values from the calculation:
E_form, eV per formula unit: 1.661
ΔE to the lowest computed polymorph, eV per atom: 0.319

---

A relaxed structure of CePu2Sc6. Source: Alexandria, functional PBE. Values from VASP.

The structure in Quantum ESPRESSO input format:
```
&SYSTEM
  ibrav = 0, nat = 9, ntyp = 3
/
ATOMIC_SPECIES
Ce 140.12 Ce.upf
Pu 244.00 Pu.upf
Sc 44.96 Sc.upf
CELL_PARAMETERS angstrom
7.808 -1.759 0.000
7.808 1.759 0.000
-1.892 0.000 7.894
ATOMIC_POSITIONS crystal
Ce 0.000 0.000 0.000
Pu 0.239 0.239 0.407
Pu 0.761 0.761 0.593
Sc 0.117 0.117 0.708
Sc 0.322 0.322 0.950
Sc 0.435 0.435 0.649
Sc 0.565 0.565 0.351
Sc 0.678 0.678 0.050
Sc 0.883 0.883 0.292
```

Values from the calculation:
E_form, eV per formula unit: 1.085
ΔE to the lowest computed polymorph, eV per atom: 0.000

---

A relaxed structure of CePu2Sc. Source: Alexandria, functional PBE. Values from VASP.

The structure in Quantum ESPRESSO input format:
```
&SYSTEM
  ibrav = 0, nat = 12, ntyp = 3
/
ATOMIC_SPECIES
Ce 140.12 Ce.upf
Pu 244.00 Pu.upf
Sc 44.96 Sc.upf
CELL_PARAMETERS angstrom
3.313 0.000 0.000
-1.657 2.869 0.000
0.000 0.000 32.769
ATOMIC_POSITIONS crystal
Ce 0.000 0.000 0.000
Ce 0.333 0.667 0.667
Ce 0.667 0.333 0.333
Pu 0.000 0.000 0.581
Pu 0.000 0.000 0.750
Pu 0.333 0.667 0.247
Pu 0.333 0.667 0.416
Pu 0.667 0.333 0.083
Pu 0.667 0.333 0.914
Sc 0.000 0.000 0.165
Sc 0.333 0.667 0.832
Sc 0.667 0.333 0.499
```

Values from the calculation:
E_form, eV per formula unit: 0.699
ΔE to the lowest computed polymorph, eV per atom: 0.041

---

A relaxed structure of Ce2PuSc. Source: Alexandria, functional PBE. Values from VASP.

The structure in Quantum ESPRESSO input format:
```
&SYSTEM
  ibrav = 0, nat = 16, ntyp = 3
/
ATOMIC_SPECIES
Ce 140.12 Ce.upf
Pu 244.00 Pu.upf
Sc 44.96 Sc.upf
CELL_PARAMETERS angstrom
7.516 0.000 0.000
0.000 7.516 0.000
0.000 0.000 7.516
ATOMIC_POSITIONS crystal
Ce 0.250 0.250 0.250
Ce 0.250 0.250 0.750
Ce 0.250 0.750 0.250
Ce 0.250 0.750 0.750
Ce 0.750 0.250 0.250
Ce 0.750 0.250 0.750
Ce 0.750 0.750 0.250
Ce 0.750 0.750 0.750
Pu 0.000 0.000 0.000
Pu 0.000 0.500 0.500
Pu 0.500 0.000 0.500
Pu 0.500 0.500 0.000
Sc 0.000 0.000 0.500
Sc 0.000 0.500 0.000
Sc 0.500 0.000 0.000
Sc 0.500 0.500 0.500
```

Values from the calculation:
E_form, eV per formula unit: 0.620
ΔE to the lowest computed polymorph, eV per atom: 0.059

---

A relaxed structure of Ce2Pu2Sc7. Source: Alexandria, functional PBE. Values from VASP.

The structure in Quantum ESPRESSO input format:
```
&SYSTEM
  ibrav = 0, nat = 11, ntyp = 3
/
ATOMIC_SPECIES
Ce 140.12 Ce.upf
Pu 244.00 Pu.upf
Sc 44.96 Sc.upf
CELL_PARAMETERS angstrom
6.701 -6.277 0.000
6.701 6.277 0.000
-0.285 0.000 3.505
ATOMIC_POSITIONS crystal
Ce 0.233 0.767 0.000
Ce 0.767 0.233 0.000
Pu 0.175 0.175 0.128
Pu 0.825 0.825 0.872
Sc 0.000 0.000 0.500
Sc 0.125 0.435 0.708
Sc 0.408 0.408 0.246
Sc 0.435 0.125 0.708
Sc 0.565 0.875 0.292
Sc 0.592 0.592 0.754
Sc 0.875 0.565 0.292
```

Values from the calculation:
E_form, eV per formula unit: 3.749
ΔE to the lowest computed polymorph, eV per atom: 0.069

---

A relaxed structure of CePu2Sc8. Source: Alexandria, functional PBE. Values from VASP.

The structure in Quantum ESPRESSO input format:
```
&SYSTEM
  ibrav = 0, nat = 11, ntyp = 3
/
ATOMIC_SPECIES
Ce 140.12 Ce.upf
Pu 244.00 Pu.upf
Sc 44.96 Sc.upf
CELL_PARAMETERS angstrom
8.696 -3.252 0.000
8.696 3.252 0.000
-0.234 0.000 5.117
ATOMIC_POSITIONS crystal
Ce 0.000 0.000 0.000
Pu 0.288 0.288 0.758
Pu 0.712 0.712 0.242
Sc 0.131 0.599 0.269
Sc 0.188 0.188 0.238
Sc 0.401 0.869 0.731
Sc 0.454 0.454 0.759
Sc 0.546 0.546 0.241
Sc 0.599 0.131 0.269
Sc 0.812 0.812 0.762
Sc 0.869 0.401 0.731
```

Values from the calculation:
E_form, eV per formula unit: 2.370

---

A relaxed structure of CePu2Sc. Source: Alexandria, functional PBE. Values from VASP.

The structure in Quantum ESPRESSO input format:
```
&SYSTEM
  ibrav = 0, nat = 12, ntyp = 3
/
ATOMIC_SPECIES
Ce 140.12 Ce.upf
Pu 244.00 Pu.upf
Sc 44.96 Sc.upf
CELL_PARAMETERS angstrom
3.297 0.000 0.000
-1.649 2.856 0.000
0.000 0.000 32.083
ATOMIC_POSITIONS crystal
Ce 0.000 0.000 0.000
Ce 0.333 0.667 0.667
Ce 0.667 0.333 0.333
Pu 0.000 0.000 0.251
Pu 0.000 0.000 0.749
Pu 0.333 0.667 0.416
Pu 0.333 0.667 0.918
Pu 0.667 0.333 0.082
Pu 0.667 0.333 0.584
Sc 0.000 0.000 0.500
Sc 0.333 0.667 0.167
Sc 0.667 0.333 0.833
```

Values from the calculation:
E_form, eV per formula unit: 0.632
ΔE to the lowest computed polymorph, eV per atom: 0.024

---

Magnetization (μB/cell)
0.3; 3.0; 13.9; 29.9; 11.3; 12.1; 2.1; 0.0; 1.1; 28.0; 15.3; 12.0; 32.0